Compound: TlOsF6
Source: the Open Quantum Materials Database
Functional: PBE
Structure: relaxed

Computed properties:
- spin magnetization (μB per formula unit) = 3.00
- total energy (eV per atom) = -4.8956

a = 5.727 Å, b = 5.727 Å, c = 5.727 Å
α = 54.61°, β = 54.61°, γ = 54.61°
Last column: magnetic moment on the atom in μB.
Fractional coordinates of all 8 atoms:
F (0.094, 0.584, 0.094)  0.12
F (0.416, 0.906, 0.906)  0.12
F (0.906, 0.416, 0.906)  0.12
Tl (0.500, 0.500, 0.500)  0.02
F (0.094, 0.094, 0.584)  0.12
F (0.906, 0.906, 0.416)  0.12
F (0.584, 0.094, 0.094)  0.12
Os (0.000, 0.000, 0.000)  2.12